Cs2LaNF after structural relaxation, computed with PBE.

Calculated values
Space-group type: P4/mmm
ΔE_f (raw): -0.493 eV per atom

Cell lengths 7.443, 4.339, 7.443 Å; angles 90.00, 90.00, 90.00 degrees
Fractional coordinates of all 5 atoms:
Cs  0.000  0.000  0.500
Cs  0.500  0.000  0.000
N  0.000  0.500  0.000
F  0.500  0.500  0.500
La  0.000  0.000  0.000